--- i ---
The following is a GGA-PBEsol calculation of a relaxed structure of YSi2Tc, from the Alexandria database.

Values from the calculation:
symmetry	P4mm (99)
Fermi-level density of states	0.621	states/eV per atom
mass density	6.1	g/cm³

a b c (Å): 3.198 3.198 6.513
angles (deg): 90.00 90.00 90.00
Atoms (fractional coordinates):
Si 0.000 0.000 0.054
Y 0.500 0.500 0.747
Tc 0.000 0.000 0.426
Si 0.500 0.500 0.273

--- ii ---
The following is a GGA-PBEsol calculation of a relaxed structure of YSi2Tc, from the Alexandria database.

Values from the calculation:
symmetry	Cmmm (65)
Fermi-level density of states	0.708	states/eV per atom
mass density	6.2	g/cm³

a b c (Å): 3.287 4.537 4.537
angles (deg): 104.60 90.00 90.00
Atoms (fractional coordinates):
Si 0.000 0.000 0.500
Tc 0.500 0.000 0.000
Si 0.000 0.500 0.000
Y 0.500 0.500 0.500

Which structure loses on stability? ii does.

--- i ---
The following is a GGA-PBEsol calculation of a relaxed structure of TlSi2Te, from the Alexandria database.

Values from the calculation:
symmetry	C2/m (12)
Fermi-level density of states	0.509	states/eV per atom
mass density	7.3	g/cm³

a b c (Å): 3.063 5.749 5.749
angles (deg): 109.73 102.54 102.54
Atoms (fractional coordinates):
Te 0.500 0.000 0.000
Si 0.000 0.500 0.000
Tl 0.500 0.500 0.500
Si 0.000 0.000 0.500

--- ii ---
The following is a GGA-PBEsol calculation of a relaxed structure of TlSi2Te, from the Alexandria database.

Values from the calculation:
symmetry	P4mm (99)
Fermi-level density of states	0.454	states/eV per atom
mass density	6.5	g/cm³

a b c (Å): 3.260 3.260 9.340
angles (deg): 90.00 90.00 90.00
Atoms (fractional coordinates):
Tl 0.500 0.500 0.783
Si 0.500 0.500 0.090
Te 0.000 0.000 0.452
Si 0.000 0.000 0.175

--- iii ---
The following is a GGA-PBEsol calculation of a relaxed structure of TlSi2Te, from the Alexandria database.

Values from the calculation:
symmetry	I-42d (122)
Fermi-level density of states	0.697	states/eV per atom
mass density	5.5	g/cm³

a b c (Å): 5.999 5.999 7.757
angles (deg): 112.75 112.75 90.00
Atoms (fractional coordinates):
Tl 0.250 0.750 0.500
Te 0.500 0.500 0.000
Si 0.625 0.635 0.750
Si 0.125 0.115 0.750
Te 0.750 0.250 0.500
Tl 0.000 0.000 0.000
Si 0.365 0.875 0.250
Si 0.885 0.375 0.250

Which structure loses on stability? iii does.

--- i ---
The following is a GGA-PBEsol calculation of a relaxed structure of Tl2SiTe, from the Alexandria database.

Values from the calculation:
symmetry	R-3m (166)
Fermi-level density of states	0.831	states/eV per atom
mass density	9.1	g/cm³

a b c (Å): 3.225 3.225 11.582
angles (deg): 82.00 82.00 60.00
Atoms (fractional coordinates):
Te 0.000 0.000 0.000
Si 0.500 0.500 0.500
Tl 0.241 0.241 0.277
Tl 0.759 0.759 0.723

--- ii ---
The following is a GGA-PBEsol calculation of a relaxed structure of Tl2SiTe, from the Alexandria database.

Values from the calculation:
symmetry	F-43m (216)
Fermi-level density of states	0.670	states/eV per atom
mass density	9.1	g/cm³

a b c (Å): 5.269 5.269 5.269
angles (deg): 60.00 60.00 60.00
Atoms (fractional coordinates):
Te 0.250 0.250 0.250
Si 0.500 0.500 0.500
Tl 0.750 0.750 0.750
Tl 0.000 0.000 0.000

Which structure loses on stability? i does.

--- i ---
The following is a GGA-PBEsol calculation of a relaxed structure of Zr2SiTe, from the Alexandria database.

Values from the calculation:
symmetry	I-4m2 (119)
Fermi-level density of states	1.075	states/eV per atom
mass density	7.1	g/cm³

a b c (Å): 4.093 4.093 5.540
angles (deg): 111.68 111.68 90.00
Atoms (fractional coordinates):
Si 0.500 0.500 0.000
Te 0.250 0.750 0.500
Zr 0.000 0.000 0.000
Zr 0.750 0.250 0.500

--- ii ---
The following is a GGA-PBEsol calculation of a relaxed structure of Zr2SiTe, from the Alexandria database.

Values from the calculation:
symmetry	Amm2 (38)
Fermi-level density of states	0.721	states/eV per atom
mass density	6.9	g/cm³

a b c (Å): 3.494 4.640 5.321
angles (deg): 90.00 109.16 90.00
Atoms (fractional coordinates):
Si 0.846 0.000 0.692
Te 0.661 0.500 0.321
Zr 0.383 0.500 0.766
Zr 0.120 0.000 0.240

Which structure loses on stability? i does.

--- i ---
The following is a GGA-PBEsol calculation of a relaxed structure of ZrSiTe, from the Alexandria database.

Values from the calculation:
symmetry	I4mm (107)
Fermi-level density of states	0.474	states/eV per atom
mass density	7.0	g/cm³

a b c (Å): 3.592 3.592 5.203
angles (deg): 110.19 110.19 90.00
Atoms (fractional coordinates):
Zr 0.344 0.344 0.687
Si 0.987 0.987 0.974
Te 0.669 0.669 0.339

--- ii ---
The following is a GGA-PBEsol calculation of a relaxed structure of ZrSiTe, from the Alexandria database.

Values from the calculation:
symmetry	P4/nmm (129)
Fermi-level density of states	0.086	states/eV per atom
mass density	6.6	g/cm³

a b c (Å): 3.707 3.707 8.993
angles (deg): 90.00 90.00 90.00
Atoms (fractional coordinates):
Zr 0.500 0.000 0.734
Si 0.000 0.000 0.500
Zr 0.000 0.500 0.266
Te 0.000 0.500 0.870
Si 0.500 0.500 0.500
Te 0.500 0.000 0.130

Which structure loses on stability? i does.

--- i ---
The following is a GGA-PBEsol calculation of a relaxed structure of Y3TiSi, from the Alexandria database.

Values from the calculation:
symmetry	Pm-3m (221)
Fermi-level density of states	0.816	states/eV per atom
mass density	4.3	g/cm³

a b c (Å): 5.099 5.099 5.099
angles (deg): 90.00 90.00 90.00
Atoms (fractional coordinates):
Ti 0.000 0.000 0.000
Y 0.000 0.500 0.000
Y 0.500 0.000 0.000
Y 0.000 0.000 0.500
Si 0.500 0.500 0.500

--- ii ---
The following is a GGA-PBEsol calculation of a relaxed structure of Y3TiSi, from the Alexandria database.

Values from the calculation:
symmetry	Pm-3m (221)
Fermi-level density of states	1.368	states/eV per atom
mass density	3.7	g/cm³

a b c (Å): 5.334 5.334 5.334
angles (deg): 90.00 90.00 90.00
Each line ends with the local moment (μB).
Atoms (fractional coordinates):
Y 0.500 0.000 0.000  0.35
Ti 0.500 0.500 0.500  1.80
Y 0.000 0.500 0.000  0.35
Si 0.000 0.000 0.000  0.03
Y 0.000 0.000 0.500  0.35

Which structure loses on stability? i does.

--- i ---
The following is a GGA-PBEsol calculation of a relaxed structure of TlSi2, from the Alexandria database.

Values from the calculation:
symmetry	P6/mmm (191)
Fermi-level density of states	0.432	states/eV per atom
mass density	6.2	g/cm³

a b c (Å): 3.948 3.948 5.134
angles (deg): 90.00 90.00 120.00
Atoms (fractional coordinates):
Tl 0.000 0.000 0.000
Si 0.333 0.667 0.500
Si 0.667 0.333 0.500

--- ii ---
The following is a GGA-PBEsol calculation of a relaxed structure of TlSi2, from the Alexandria database.

Values from the calculation:
symmetry	P6_3/mmc (194)
Fermi-level density of states	0.353	states/eV per atom
mass density	7.2	g/cm³

a b c (Å): 4.631 4.631 6.444
angles (deg): 90.00 90.00 120.00
Atoms (fractional coordinates):
Si 0.667 0.333 0.448
Tl 0.000 0.000 0.250
Si 0.667 0.333 0.052
Si 0.333 0.667 0.552
Si 0.333 0.667 0.948
Tl 0.000 0.000 0.750

Which structure loses on stability? ii does.

--- i ---
The following is a GGA-PBEsol calculation of a relaxed structure of Tl2Si, from the Alexandria database.

Values from the calculation:
symmetry	P6_3/mmc (194)
Fermi-level density of states	0.382	states/eV per atom
mass density	10.1	g/cm³

a b c (Å): 5.207 5.207 6.138
angles (deg): 90.00 90.00 120.00
Atoms (fractional coordinates):
Tl 0.000 0.000 0.500
Tl 0.000 0.000 0.000
Tl 0.333 0.667 0.750
Tl 0.667 0.333 0.250
Si 0.333 0.667 0.250
Si 0.667 0.333 0.750

--- ii ---
The following is a GGA-PBEsol calculation of a relaxed structure of Tl2Si, from the Alexandria database.

Values from the calculation:
symmetry	I4_1/amd (141)
Fermi-level density of states	0.436	states/eV per atom
mass density	9.6	g/cm³

a b c (Å): 3.334 3.334 13.728
angles (deg): 96.98 96.98 90.00
Atoms (fractional coordinates):
Tl 0.678 0.178 0.356
Tl 0.572 0.572 0.144
Tl 0.822 0.322 0.644
Tl 0.428 0.428 0.856
Si 0.000 0.000 0.000
Si 0.250 0.750 0.500

Which structure loses on stability? i does.

--- i ---
The following is a GGA-PBEsol calculation of a relaxed structure of ZrTl2Si, from the Alexandria database.

Values from the calculation:
symmetry	P4/mmm (123)
Fermi-level density of states	0.751	states/eV per atom
mass density	10.0	g/cm³

a b c (Å): 3.281 5.165 5.165
angles (deg): 90.00 90.00 90.00
Atoms (fractional coordinates):
Si 0.500 0.000 0.000
Tl 0.000 0.500 0.000
Zr 0.500 0.500 0.500
Tl 0.000 0.000 0.500

--- ii ---
The following is a GGA-PBEsol calculation of a relaxed structure of ZrTl2Si, from the Alexandria database.

Values from the calculation:
symmetry	Pmmm (47)
Fermi-level density of states	0.597	states/eV per atom
mass density	10.2	g/cm³

a b c (Å): 3.497 4.175 5.868
angles (deg): 90.00 90.00 90.00
Atoms (fractional coordinates):
Tl 0.000 0.000 0.253
Zr 0.500 0.500 0.000
Tl 0.000 0.000 0.747
Si 0.500 0.500 0.500

Which structure loses on stability? i does.

--- i ---
The following is a GGA-PBEsol calculation of a relaxed structure of ZrTl2Si, from the Alexandria database.

Values from the calculation:
symmetry	R-3m (166)
Fermi-level density of states	0.531	states/eV per atom
mass density	10.0	g/cm³

a b c (Å): 3.313 3.313 9.412
angles (deg): 79.86 79.86 60.00
Atoms (fractional coordinates):
Zr 0.500 0.500 0.500
Tl 0.255 0.255 0.236
Tl 0.745 0.745 0.764
Si 0.000 0.000 0.000

--- ii ---
The following is a GGA-PBEsol calculation of a relaxed structure of ZrTl2Si, from the Alexandria database.

Values from the calculation:
symmetry	R3m (160)
Fermi-level density of states	0.516	states/eV per atom
mass density	9.8	g/cm³

a b c (Å): 3.302 3.302 9.654
angles (deg): 80.15 80.15 60.00
Atoms (fractional coordinates):
Tl 0.993 0.993 0.020
Si 0.245 0.245 0.265
Tl 0.754 0.754 0.738
Zr 0.508 0.508 0.477

Which structure loses on stability? i does.

--- i ---
The following is a GGA-PBEsol calculation of a relaxed structure of V5Si3, from the Alexandria database.

Values from the calculation:
symmetry	I4/mcm (140)
Fermi-level density of states	0.518	states/eV per atom
mass density	5.5	g/cm³

a b c (Å): 6.133 6.975 6.133
angles (deg): 63.92 90.00 116.08
Atoms (fractional coordinates):
Si 0.633 0.000 0.133
V 0.000 0.000 0.000
V 0.513 0.696 0.987
Si 0.133 0.000 0.367
Si 0.867 0.000 0.633
V 0.500 0.000 0.500
Si 0.250 0.500 0.750
V 0.183 0.696 0.317
V 0.817 0.304 0.683
V 0.987 0.304 0.183
V 0.317 0.304 0.513
V 0.013 0.696 0.817
Si 0.750 0.500 0.250
V 0.487 0.304 0.013
V 0.683 0.696 0.487
Si 0.367 0.000 0.867

--- ii ---
The following is a GGA-PBEsol calculation of a relaxed structure of V5Si3, from the Alexandria database.

Values from the calculation:
symmetry	P6_3/mcm (193)
Fermi-level density of states	1.063	states/eV per atom
mass density	5.5	g/cm³

a b c (Å): 4.781 7.050 7.050
angles (deg): 120.00 90.00 90.00
Atoms (fractional coordinates):
Si 0.250 0.396 0.000
Si 0.750 0.604 0.000
V 0.750 0.244 0.000
V 0.250 0.000 0.756
V 0.750 0.000 0.244
V 0.500 0.333 0.667
Si 0.750 0.000 0.604
V 0.250 0.244 0.244
V 0.000 0.667 0.333
V 0.500 0.667 0.333
V 0.750 0.756 0.756
Si 0.250 0.604 0.604
Si 0.250 0.000 0.396
V 0.250 0.756 0.000
Si 0.750 0.396 0.396
V 0.000 0.333 0.667

Which structure loses on stability? ii does.

--- i ---
The following is a GGA-PBEsol calculation of a relaxed structure of Si2W, from the Alexandria database.

Values from the calculation:
symmetry	I4/mmm (139)
Fermi-level density of states	0.077	states/eV per atom
mass density	9.9	g/cm³

a b c (Å): 3.202 3.202 4.516
angles (deg): 110.77 110.77 90.00
Atoms (fractional coordinates):
Si 0.165 0.165 0.331
W 0.500 0.500 0.000
Si 0.835 0.835 0.669

--- ii ---
The following is a GGA-PBEsol calculation of a relaxed structure of Si2W, from the Alexandria database.

Values from the calculation:
symmetry	I4/mcm (140)
Fermi-level density of states	0.178	states/eV per atom
mass density	8.7	g/cm³

a b c (Å): 4.934 4.934 4.934
angles (deg): 105.68 105.68 117.35
Atoms (fractional coordinates):
Si 0.141 0.359 0.500
Si 0.641 0.141 0.782
W 0.250 0.250 0.000
Si 0.359 0.859 0.218
W 0.750 0.750 0.000
Si 0.859 0.641 0.500

--- iii ---
The following is a GGA-PBEsol calculation of a relaxed structure of Si2W, from the Alexandria database.

Values from the calculation:
symmetry	P6_222 (180)
Fermi-level density of states	0.015	states/eV per atom
mass density	10.0	g/cm³

a b c (Å): 4.575 4.575 6.603
angles (deg): 90.00 90.00 120.00
Atoms (fractional coordinates):
Si 0.836 0.164 0.500
W 0.000 0.500 0.833
W 0.500 0.000 0.167
W 0.500 0.500 0.500
Si 0.164 0.836 0.500
Si 0.164 0.328 0.167
Si 0.672 0.836 0.833
Si 0.836 0.672 0.167
Si 0.328 0.164 0.833

--- iv ---
The following is a GGA-PBEsol calculation of a relaxed structure of Si2W, from the Alexandria database.

Values from the calculation:
symmetry	Fm-3m (225)
Fermi-level density of states	0.725	states/eV per atom
mass density	8.0	g/cm³

a b c (Å): 4.127 4.127 4.127
angles (deg): 60.00 60.00 60.00
Atoms (fractional coordinates):
Si 0.250 0.250 0.250
W 0.000 0.000 0.000
Si 0.750 0.750 0.750

Which structure loses on stability? iv does.